ErCo2 | OQMD via LeMat-Bulk | PBE-GGA | optimized geometry; DFT formation energy = -0.72 eV per formula unit; symmetry = No. 227
1.0
3.548 -3.548 0.000
-3.548 0.000 -3.548
3.548 3.548 0.000
Er Co
2 4
Direct
0.750 0.500 0.250 Er
0.000 0.000 0.000 Er
0.875 0.250 0.625 Co
0.375 0.750 0.625 Co
0.375 0.250 0.625 Co
0.375 0.750 0.125 Co

***

HfBiPb2 | OQMD via LeMat-Bulk | PBE-GGA | optimized geometry; symmetry = No. 216; E = -5.04 eV per atom
1.0
-0.313 -3.107 4.404
1.881 1.816 4.723
-3.436 1.274 3.964
Pb Bi Hf
2 1 1
Direct
0.000 0.000 0.000 Pb
0.250 0.250 0.250 Pb
0.750 0.750 0.750 Bi
0.500 0.500 0.500 Hf

***

Ho3ErAs4 | OQMD via LeMat-Bulk | PBE-GGA | optimized geometry; symmetry = No. 65; E = -6.14 eV per atom
1.0
4.088 -5.782 0.000
4.088 5.782 0.000
0.000 0.000 4.090
As Er Ho
4 1 3
Direct
0.249 0.249 0.000 As
0.250 0.750 0.500 As
0.751 0.751 0.000 As
0.750 0.250 0.500 As
0.000 0.000 0.500 Er
0.500 0.000 0.000 Ho
0.000 0.500 0.000 Ho
0.500 0.500 0.500 Ho

***

BaAsOs | OQMD via LeMat-Bulk | PBE-GGA | optimized geometry; symmetry = No. 216; E = -4.23 eV per atom
1.0
-1.610 -0.389 4.816
-3.526 -3.460 1.234
1.284 -4.059 2.794
Os Ba As
1 1 1
Direct
0.750 0.750 0.750 Os
0.000 0.000 0.000 Ba
0.250 0.250 0.250 As

***

Which formula does entry 4 have?
BaAsOs